Entry 1:
8
Lattice="3.884 0.000 0.000 0.000 3.884 0.000 0.000 0.000 7.787" Properties=species:S:1:pos:R:3 comment="CoNiPt6, relaxed, DFT GGA-PBE" space_group=P4/mmm de_polymorph_mev_per_atom=0 pbc="T T T"
Co 0.000 0.000 0.000
Ni 0.000 0.000 3.894
Pt 0.000 1.942 1.939
Pt 0.000 1.942 5.848
Pt 1.942 0.000 1.939
Pt 1.942 0.000 5.848
Pt 1.942 1.942 0.000
Pt 1.942 1.942 3.894



Entry 2:
14
Lattice="4.739 -7.344 0.000 4.739 7.344 0.000 0.000 0.000 5.554" Properties=species:S:1:pos:R:3 comment="Tm5MgAl, relaxed, DFT GGA-PBE" total_energy_ev_per_cell=-55.80 space_group=Cmcm pbc="T T T"
Tm 1.820 2.642 4.166
Tm 4.739 4.290 4.166
Tm 3.043 1.167 1.389
Tm 1.820 -2.642 1.389
Tm 3.043 -1.167 4.166
Tm 6.436 1.167 1.389
Tm 7.658 2.642 4.166
Tm 6.436 -1.167 4.166
Tm 4.739 -4.290 1.389
Tm 7.658 -2.642 1.389
Mg 0.000 0.000 0.000
Mg 0.000 0.000 2.777
Al 4.739 1.321 4.166
Al 4.739 -1.321 1.389



Entry 3:
12
Lattice="10.696 0.000 0.000 0.000 3.942 0.000 0.000 0.000 9.319" Properties=species:S:1:pos:R:3 comment="RbPdBr, relaxed, DFT GGA-PBE" space_group=Pnma de_polymorph_mev_per_atom=57 pbc="T T T"
Rb 2.340 0.986 0.114
Rb 3.008 2.957 4.774
Rb 7.688 0.986 4.546
Rb 8.356 2.957 9.205
Pd 0.185 0.986 5.549
Pd 5.163 2.957 0.889
Pd 5.533 0.986 8.430
Pd 10.511 2.957 3.771
Br 0.511 2.957 7.248
Br 4.837 0.986 2.588
Br 5.859 2.957 6.731
Br 10.185 0.986 2.072



Entry 4:
6
Lattice="2.900 0.000 0.000 0.000 3.886 0.000 0.000 0.000 12.540" Properties=species:S:1:pos:R:3 comment="AlOsBr, relaxed, DFT GGA-PBE" space_group=Imm2 de_polymorph_mev_per_atom=29 pbc="T T T"
Al 0.000 0.000 0.000
Al 1.450 1.943 6.270
Os 0.000 0.000 6.953
Os 1.450 1.943 0.683
Br 0.000 0.000 9.328
Br 1.450 1.943 3.058